Material: CrAu3F
Method: DFT, GGA+U
State: optimized geometry

Unit cell a=4.6234 b=4.6234 c=4.6234 alpha=90.00 beta=90.00 gamma=90.00
Last column: magnetic moment on the atom in μB.
Element x y z (fractional)
Cr (0.5000, 0.5000, 0.5000)  4.31
Au (0.0000, 0.5000, 0.0000)  0.06
Au (0.0000, 0.0000, 0.5000)  0.01
Au (0.5000, 0.0000, 0.0000)  0.07
F (0.0000, 0.0000, 0.0000)  0.05

Calculated values
ρ   11.1 Mg/m³
E_tot   -3.45 eV per atom
Volume   19.8 A^3/atom